Record 1
{
  "formula": "Zn3Ag8",
  "functional": "PBE",
  "state": "optimized geometry",
  "lattice_angstrom": [[5.946, -0.021, -0.021], [0.130, 5.945, -0.021], [0.130, 0.126, 5.943]],
  "species": ["Ag", "Ag", "Ag", "Ag", "Ag", "Zn", "Ag", "Zn", "Zn", "Ag", "Ag"],
  "fractional_positions": [[0.690, 0.875, 0.102], [0.102, 0.690, 0.875], [0.630, 0.630, 0.630], [0.370, 0.370, 0.370], [0.898, 0.310, 0.125], [0.000, 0.500, 0.500], [0.875, 0.102, 0.690], [0.500, 0.500, 0.000], [0.500, 0.000, 0.500], [0.125, 0.898, 0.310], [0.310, 0.125, 0.898]],
  "magmom_total_mub_per_cell": 0.0
}

Record 2
{
  "formula": "Zn4Ag5",
  "functional": "PBE",
  "state": "optimized geometry",
  "lattice_angstrom": [[-2.332, 7.373, 1.449], [-4.374, 1.567, 6.349], [4.608, 0.876, 2.959]],
  "species": ["Ag", "Ag", "Zn", "Ag", "Zn", "Zn", "Ag", "Zn", "Ag", "Ag", "Zn", "Zn", "Ag", "Ag", "Ag", "Ag", "Zn", "Zn"],
  "fractional_positions": [[0.299, 0.000, 0.750], [0.299, 0.701, 0.250], [0.000, 0.000, 0.500], [0.000, 0.701, 0.750], [0.000, 0.367, 0.750], [0.633, 0.367, 0.250], [0.333, 0.333, 0.000], [0.000, 0.633, 0.250], [0.701, 0.299, 0.750], [0.333, 0.333, 0.500], [0.000, 0.000, 0.000], [0.367, 0.633, 0.750], [0.667, 0.667, 0.500], [0.701, 0.000, 0.250], [0.667, 0.667, 0.000], [0.000, 0.299, 0.250], [0.633, 0.000, 0.750], [0.367, 0.000, 0.250]],
  "magmom_total_mub_per_cell": 0.0
}

no.,formation enthalpy at 0 K (eV/atom)
1,0.229
2,-0.021